<one>
Material: MnGa3P
Method: DFT, PBE
State: relaxed

Lattice parameters (Å, degrees): 4.909 4.909 4.909 90.00 90.00 90.00
Atoms (fractional coordinates):
Mn 0.000 0.000 0.000
Ga 0.000 0.500 0.500
Ga 0.500 0.000 0.500
Ga 0.500 0.500 0.000
P 0.500 0.500 0.500

Computed properties:
DOS at the Fermi energy   2.5 states/eV/f.u.
Crystal system   cubic
ρ   4.1 Mg/m³
Space group   Pm-3m, No. 221

=====

<two>
Material: MnGa3P
Method: DFT, PBE
State: relaxed

Lattice parameters (Å, degrees): 4.652 4.652 4.652 90.00 90.00 90.00
Atoms (fractional coordinates):
Mn 0.000 0.000 0.000
Ga 0.000 0.000 0.500
Ga 0.000 0.500 0.000
Ga 0.500 0.000 0.000
P 0.500 0.500 0.500

Computed properties:
DOS at the Fermi energy   2.5 states/eV/f.u.
Crystal system   cubic
ρ   4.9 Mg/m³
Space group   Pm-3m, No. 221

=====

Order of stability, best first: <two>, <one>

=====

<one>
Material: MnGaPPt
Method: DFT, PBE
State: relaxed

Lattice parameters (Å, degrees): 3.696 3.696 5.380 90.00 90.00 120.00
Atoms (fractional coordinates):
Mn 0.000 0.000 0.000
Ga 0.333 0.667 0.728
P 0.667 0.333 0.214
Pt 0.000 0.000 0.481

Computed properties:
DOS at the Fermi energy   2.4 states/eV/f.u.
Crystal system   trigonal
ρ   9.1 Mg/m³
Space group   P3m1, No. 156

=====

<two>
Material: MnGaPPt
Method: DFT, PBE
State: relaxed

Lattice parameters (Å, degrees): 2.869 2.869 13.609 90.00 90.00 90.00
Atoms (fractional coordinates):
Mn 0.000 0.000 0.000
Mn 0.500 0.500 0.500
Ga 0.000 0.000 0.621
Ga 0.500 0.500 0.121
P 0.000 0.000 0.415
P 0.500 0.500 0.915
Pt 0.000 0.000 0.241
Pt 0.500 0.500 0.741

Computed properties:
DOS at the Fermi energy   2.6 states/eV/f.u.
Crystal system   tetragonal
ρ   10.4 Mg/m³
Space group   I4mm, No. 107

=====

Order of stability, best first: <two>, <one>

=====

<one>
Material: MnGaPPt
Method: DFT, PBE
State: relaxed

Lattice parameters (Å, degrees): 3.177 3.177 5.728 90.00 90.00 90.00
Atoms (fractional coordinates):
Mn 0.000 0.000 0.000
Ga 0.000 0.000 0.454
P 0.500 0.500 0.129
Pt 0.500 0.500 0.691

Computed properties:
DOS at the Fermi energy   1.8 states/eV/f.u.
Crystal system   tetragonal
ρ   10.1 Mg/m³
Space group   P4mm, No. 99

=====

<two>
Material: MnGaPPt
Method: DFT, PBE
State: relaxed

Lattice parameters (Å, degrees): 3.088 3.088 13.001 90.00 90.00 90.00
Atoms (fractional coordinates):
Mn 0.000 0.000 0.000
Mn 0.500 0.500 0.500
Ga 0.000 0.000 0.247
Ga 0.500 0.500 0.747
P 0.000 0.000 0.432
P 0.500 0.500 0.932
Pt 0.000 0.000 0.642
Pt 0.500 0.500 0.142

Computed properties:
DOS at the Fermi energy   2.0 states/eV/f.u.
Crystal system   tetragonal
ρ   9.4 Mg/m³
Space group   I4mm, No. 107

=====

Order of stability, best first: <two>, <one>

=====

<one>
Material: MnGaPPt
Method: DFT, PBE
State: relaxed

Lattice parameters (Å, degrees): 5.172 2.879 7.508 90.00 94.86 90.00
Atoms (fractional coordinates):
Mn 0.000 0.000 0.000
Mn 0.500 0.500 0.000
Ga 0.134 0.500 0.742
Ga 0.634 0.000 0.742
P 0.347 0.000 0.194
P 0.847 0.500 0.194
Pt 0.432 0.500 0.467
Pt 0.932 0.000 0.467

Computed properties:
DOS at the Fermi energy   2.0 states/eV/f.u.
Crystal system   monoclinic
ρ   10.5 Mg/m³
Space group   Cm, No. 8

=====

<two>
Material: MnGaPPt
Method: DFT, PBE
State: relaxed

Lattice parameters (Å, degrees): 2.742 3.398 6.371 90.00 90.00 90.00
Atoms (fractional coordinates):
Mn 0.000 0.000 0.000
Ga 0.500 0.000 0.341
P 0.500 0.500 0.899
Pt 0.000 0.500 0.581

Computed properties:
DOS at the Fermi energy   2.2 states/eV/f.u.
Crystal system   orthorhombic
ρ   9.8 Mg/m³
Space group   Pmm2, No. 25

=====

<three>
Material: MnGaPPt
Method: DFT, PBE
State: relaxed

Lattice parameters (Å, degrees): 2.822 2.900 13.315 90.00 90.00 90.00
Atoms (fractional coordinates):
Mn 0.000 0.000 0.000
Mn 0.000 0.500 0.500
Ga 0.500 0.000 0.369
Ga 0.500 0.500 0.869
P 0.500 0.000 0.580
P 0.500 0.500 0.080
Pt 0.000 0.000 0.734
Pt 0.000 0.500 0.234

Computed properties:
DOS at the Fermi energy   1.9 states/eV/f.u.
Crystal system   orthorhombic
ρ   10.7 Mg/m³
Space group   Amm2, No. 38

=====

Order of stability, best first: <two>, <three>, <one>

=====

<one>
Material: MnGaPPt
Method: DFT, PBE
State: relaxed

Lattice parameters (Å, degrees): 4.218 2.848 5.109 90.00 104.30 90.00
Atoms (fractional coordinates):
Mn 0.000 0.000 0.000
Ga 0.472 0.500 0.824
P 0.317 0.500 0.286
Pt 0.878 0.500 0.494

Computed properties:
DOS at the Fermi energy   2.7 states/eV/f.u.
Crystal system   monoclinic
ρ   9.8 Mg/m³
Space group   Pm, No. 6

=====

<two>
Material: MnGaPPt
Method: DFT, PBE
State: relaxed

Lattice parameters (Å, degrees): 7.696 2.921 6.497 90.00 126.07 90.00
Atoms (fractional coordinates):
Mn 0.000 0.000 0.000
Mn 0.500 0.500 0.000
Ga 0.334 0.500 0.292
Ga 0.834 0.000 0.292
P 0.241 0.000 0.902
P 0.741 0.500 0.902
Pt 0.231 0.000 0.535
Pt 0.731 0.500 0.535

Computed properties:
DOS at the Fermi energy   2.4 states/eV/f.u.
Crystal system   monoclinic
ρ   9.9 Mg/m³
Space group   Cm, No. 8

=====

<three>
Material: MnGaPPt
Method: DFT, PBE
State: relaxed

Lattice parameters (Å, degrees): 2.769 3.309 12.607 90.00 90.00 90.00
Atoms (fractional coordinates):
Mn 0.000 0.000 0.000
Mn 0.500 0.500 0.500
Ga 0.000 0.500 0.672
Ga 0.500 0.000 0.172
P 0.000 0.000 0.444
P 0.500 0.500 0.944
Pt 0.000 0.500 0.300
Pt 0.500 0.000 0.800

Computed properties:
DOS at the Fermi energy   1.9 states/eV/f.u.
Crystal system   orthorhombic
ρ   10.1 Mg/m³
Space group   Imm2, No. 44

=====

Order of stability, best first: <three>, <two>, <one>

=====

<one>
Material: MnGaPPt
Method: DFT, PBE
State: relaxed

Lattice parameters (Å, degrees): 7.898 2.808 6.520 90.00 122.81 90.00
Atoms (fractional coordinates):
Mn 0.000 0.000 0.000
Mn 0.500 0.500 0.000
Ga 0.219 0.500 0.401
Ga 0.719 0.000 0.401
P 0.289 0.000 0.010
P 0.789 0.500 0.010
Pt 0.049 0.500 0.657
Pt 0.549 0.000 0.657

Computed properties:
DOS at the Fermi energy   1.9 states/eV/f.u.
Crystal system   monoclinic
ρ   9.6 Mg/m³
Space group   Cm, No. 8

=====

<two>
Material: MnGaPPt
Method: DFT, PBE
State: relaxed

Lattice parameters (Å, degrees): 7.465 3.331 5.236 90.00 112.78 90.00
Atoms (fractional coordinates):
Mn 0.000 0.000 0.000
Mn 0.500 0.500 0.000
Ga 0.104 0.500 0.672
Ga 0.604 0.000 0.672
P 0.319 0.000 0.078
P 0.819 0.500 0.078
Pt 0.328 0.500 0.414
Pt 0.828 0.000 0.414

Computed properties:
DOS at the Fermi energy   1.4 states/eV/f.u.
Crystal system   monoclinic
ρ   9.7 Mg/m³
Space group   Cm, No. 8

=====

Order of stability, best first: <two>, <one>